(1)
## NiAs2Pd (PBEsol)

Data for a geometry-optimized NiAs2Pd structure.

Structure (extended XYZ):
```
8
Lattice="5.5026 0.0000 0.0000 0.0000 5.5026 0.0000 -2.7513 -2.7513 5.0981" Properties=species:S:1:pos:R:3 pbc="T T T"
Ni 2.7513 0.0000 2.5491
Ni 2.7513 2.7513 0.0000
Pd 0.0000 0.0000 0.0000
Pd 0.0000 2.7513 2.5491
As 1.3757 1.2317 3.8236
As 1.5196 4.1270 1.2745
As -1.3757 -1.2317 3.8236
As 3.9830 1.3757 1.2745
```

D(E_F), states/eV/cell: 6.07
Energy of formation from the pure elements, meV/atom: 30

(2)
## Ca2Pb (PBEsol)

Data for a geometry-optimized Ca2Pb structure.

Structure (extended XYZ):
```
3
Lattice="5.3114 0.0000 0.0000 2.6557 4.5998 0.0000 2.6557 1.5333 4.3367" Properties=species:S:1:pos:R:3 pbc="T T T"
Ca 2.6557 1.5333 1.0842
Ca 7.9671 4.5998 3.2525
Pb 0.0000 0.0000 0.0000
```

Energy of formation from the pure elements, meV/atom: -540

(3)
## Mo2AsBr (PBEsol)

Data for a geometry-optimized Mo2AsBr structure.

Structure (extended XYZ):
```
4
Lattice="3.2192 0.0000 0.0000 0.0000 3.2192 0.0000 0.0000 0.0000 6.5269" Properties=species:S:1:pos:R:3 pbc="T T T"
As 1.6096 1.6096 0.0000
Mo 0.0000 0.0000 5.2794
Mo 0.0000 0.0000 1.2476
Br 1.6096 1.6096 3.2635
```

D(E_F), states/eV/cell: 3.85
ΔE_f (raw), eV/atom: 0.291
Distance to the lowest polymorph of the same formula, meV/atom: 0

(4)
## CoNiBiI2 (PBEsol)

Data for a geometry-optimized CoNiBiI2 structure.

Structure (extended XYZ):
```
5
Lattice="-0.2166 -3.2235 3.9158 3.9467 -2.5955 -1.9184 3.2202 2.9624 2.6168" Properties=species:S:1:pos:R:3 pbc="T T T"
I 1.6101 1.4812 1.3084
I 1.9734 -1.2978 -0.9592
Co 3.4752 -1.4283 2.3071
Bi -0.1083 -1.6118 1.9579
Ni 0.0000 0.0000 0.0000
```

D(E_F), states/eV/cell: 9.32
ΔE_f (raw), eV/atom: 0.923

(5)
## SmAsO4 (PBEsol)

Data for a geometry-optimized SmAsO4 structure.

Structure (extended XYZ):
```
24
Lattice="6.6444 0.0063 0.0000 -1.8013 6.5865 0.0000 0.0000 0.0000 7.0285" Properties=species:S:1:pos:R:3 pbc="T T T"
O 0.4725 6.4732 0.7459
O 2.5113 4.9036 3.4629
O -1.6080 5.8995 2.4432
O 2.6148 2.6094 1.0710
O 0.4002 4.0239 1.4893
O 0.1477 3.4098 4.2601
O 4.6953 3.1830 2.7684
O 4.3706 0.1197 6.2826
O 4.6230 0.7338 2.0249
O 2.2282 3.9834 5.9575
O 4.4428 2.5689 5.5392
O 6.4511 0.6933 4.5853
O 2.3318 1.6892 3.5656
O 0.0897 1.6072 0.0513
O 4.7533 4.9857 6.9772
O 0.2200 5.8590 5.0036
As 1.3170 4.6013 4.6484
As 5.5399 1.3111 5.8943
As -0.6968 5.2817 1.1341
As 3.5260 1.9915 2.3801
Sm 2.5324 5.1432 1.0485
Sm 4.7321 4.7460 4.5627
Sm 0.1109 1.8468 2.4657
Sm 2.3106 1.4496 5.9800
```

D(E_F), states/eV/cell: 0.00
ΔE_f (raw), eV/atom: -2.345
Distance to the lowest polymorph of the same formula, meV/atom: 29

(6)
## MgHgSb2 (PBEsol)

Data for a geometry-optimized MgHgSb2 structure.

Structure (extended XYZ):
```
4
Lattice="5.1691 0.0000 0.0000 2.5846 4.4766 0.0000 2.5846 1.4922 4.2206" Properties=species:S:1:pos:R:3 pbc="T T T"
Sb 2.5846 1.4922 1.0551
Sb 7.7537 4.4766 3.1654
Hg 0.0000 0.0000 0.0000
Mg 5.1691 2.9844 2.1103
```

D(E_F), states/eV/cell: 2.60
ΔE_f (raw), eV/atom: 0.072
Distance to the lowest polymorph of the same formula, meV/atom: 126

(7)
## ScReHg2 (PBEsol)

Data for a geometry-optimized ScReHg2 structure.

Structure (extended XYZ):
```
4
Lattice="2.9267 0.0000 0.0000 0.0000 2.9267 0.0000 0.0000 0.0000 8.4575" Properties=species:S:1:pos:R:3 pbc="T T T"
Hg 0.0000 0.0000 2.0696
Hg 0.0000 0.0000 6.3880
Sc 1.4633 1.4633 4.2288
Re 1.4633 1.4633 0.0000
```

D(E_F), states/eV/cell: 3.66
Energy of formation from the pure elements, meV/atom: 309
Distance to the lowest polymorph of the same formula, meV/atom: 129

(8)
## MgTlTc2Ag (PBEsol)

Data for a geometry-optimized MgTlTc2Ag structure.

Structure (extended XYZ):
```
5
Lattice="4.9670 0.0000 0.0000 0.0000 5.0314 0.0000 0.0000 0.0000 5.0314" Properties=species:S:1:pos:R:3 pbc="T T T"
Tc 0.0000 2.5157 0.0000
Tc 0.0000 0.0000 2.5157
Ag 2.4835 2.5157 2.5157
Tl 0.0000 0.0000 0.0000
Mg 2.4835 0.0000 0.0000
```

D(E_F), states/eV/cell: 5.54
Energy of formation from the pure elements, meV/atom: 2043

(9)
## NaGe2Br (PBEsol)

Data for a geometry-optimized NaGe2Br structure.

Structure (extended XYZ):
```
4
Lattice="5.0124 0.0000 0.0000 2.5062 4.3409 0.0000 2.5062 1.4470 4.0926" Properties=species:S:1:pos:R:3 pbc="T T T"
Na 0.0000 0.0000 0.0000
Ge 7.5187 4.3409 3.0695
Ge 2.5062 1.4470 1.0232
Br 5.0124 2.8939 2.0463
```

D(E_F), states/eV/cell: 3.05
ΔE_f (raw), eV/atom: 0.403

(10)
## MnV3Cu2P6O24 (PBEsol)

Data for a geometry-optimized MnV3Cu2P6O24 structure.

Structure (extended XYZ):
```
36
Lattice="-2.7559 6.7072 4.2606 -5.3269 5.3562 -3.6972 -8.0126 0.2911 2.5393" Properties=species:S:1:pos:R:3 pbc="T T T"
O -7.2481 5.6095 5.0316
O -11.1597 5.8312 -1.2670
O -9.8780 6.2073 2.7897
O -10.6185 9.4299 0.9471
O -10.0223 3.8384 3.4374
O -6.2719 8.7533 3.3224
O -4.0310 5.0470 1.3003
O -5.5237 2.8949 2.1261
O -12.0695 7.3091 1.8649
O -9.8153 3.5934 -0.2579
O -7.6945 4.1259 0.8723
O -8.4206 8.2447 2.2378
O -6.0090 6.7049 -2.1380
O -6.0384 8.5296 -0.3204
O -10.0396 5.6595 5.2271
O -6.2402 6.1604 0.3159
O -8.8504 6.7087 -1.9127
O -10.5879 8.8029 3.6026
O -9.7037 7.0420 0.3705
O -6.4110 5.3306 2.7338
O -8.8965 2.0148 1.5581
O -4.9122 6.4919 4.4002
O -5.4895 3.6056 -0.5263
O -7.1921 10.3020 1.5129
V -10.3161 7.9184 1.9886
V -5.7948 4.4480 1.1171
V -13.8419 10.6247 2.6683
P -5.9679 5.3825 4.2191
P -7.5146 9.4011 2.7390
P -10.5131 5.2256 3.8106
P -10.1190 6.9781 -1.1238
P -5.5864 7.1183 -0.7137
P -8.5756 2.9505 0.3751
Mn -2.2588 1.7338 0.4354
Cu -16.0910 12.3511 3.1019
Cu -8.0614 6.1878 1.5540
```

D(E_F), states/eV/cell: 16.84
ΔE_f (raw), eV/atom: -2.018

(11)
## YFe2Co (PBEsol)

Data for a geometry-optimized YFe2Co structure.

Structure (extended XYZ):
```
4
Lattice="-1.9189 -2.3105 -0.2987 2.3238 -1.8705 -0.4597 0.3488 -1.0919 6.2055" Properties=species:S:1:pos:R:3 pbc="T T T"
Fe 0.3483 -1.0902 6.1960
Fe 0.2696 -2.3008 0.8158
Y 0.1745 -0.5462 3.1041
Co 0.4845 -2.9736 4.6395
```

D(E_F), states/eV/cell: 4.58
Energy of formation from the pure elements, meV/atom: 193

(12)
## Ag9PSe6 (PBEsol)

Data for a geometry-optimized Ag9PSe6 structure.

Structure (extended XYZ):
```
64
Lattice="-2.2823 6.1052 8.8281 1.4754 -8.7614 6.4405 10.6317 2.5265 1.0013" Properties=species:S:1:pos:R:3 pbc="T T T"
Ag 8.6565 4.5475 9.8729
Ag 7.5752 3.6001 7.0828
Ag 6.6069 2.1762 9.7070
Ag 5.5404 2.1002 4.3787
Ag 3.9602 -3.6925 9.4477
Ag 9.1477 1.0192 2.6099
Ag 5.0218 -1.3066 3.5279
Ag 6.8148 -2.4065 5.5364
Ag 1.2601 -1.4550 8.8983
Ag 3.2159 3.0359 9.9508
Ag 3.9283 -3.2647 5.3094
Ag 1.2198 0.5430 10.8962
Ag 4.7627 3.6921 6.8242
Ag 9.0997 -4.4033 9.5339
Ag 6.6413 -4.3470 7.5834
Ag 5.7791 1.3845 13.2270
Ag 4.1827 -3.2673 12.2714
Ag 0.9026 -1.5478 6.0135
Ag 9.3030 0.7984 11.0944
Ag 7.0940 -2.4756 12.4022
Ag 5.3976 3.8965 11.5949
Ag 0.7628 1.0295 7.2552
Ag 2.7233 1.4247 2.4026
Ag 2.7981 2.7392 4.9030
Ag -0.2316 -1.7560 13.4686
Ag 4.1052 -0.6556 11.1951
Ag 0.2467 0.1956 3.8883
Ag 0.0484 5.0323 8.1366
Ag 10.1939 -5.4400 7.1436
Ag 8.5789 0.4487 6.6916
Ag 7.4466 -1.7604 9.1686
Ag 2.2406 -0.4082 13.7078
Ag 7.7496 6.9622 8.7185
Ag 2.3873 -1.6910 2.5806
Ag 1.5904 -6.1938 7.1159
Ag 10.0968 -0.8889 8.7190
Se 6.2595 4.6019 9.0180
Se 8.8050 -3.0161 7.4201
Se 3.5085 -1.8995 7.5608
Se 0.5144 -0.0068 0.8518
Se 6.2490 -4.1742 10.6082
Se 6.0438 0.0811 6.0456
Se 3.4114 2.0772 12.3716
Se 0.5153 3.3877 6.0905
Se 1.4260 -4.0942 5.4809
Se 6.5265 -0.0862 10.8079
Se 2.7098 -0.0358 4.4874
Se 0.3346 2.5759 9.7044
Se 6.5208 0.5948 2.4418
Se 6.4082 -0.8831 14.4276
Se 9.5144 -1.4270 12.5476
Se 9.4749 1.8444 8.7082
Se 4.4273 -5.4708 7.1689
Se 2.6654 5.1807 8.4657
Se 8.3756 1.9893 13.2625
Se 1.8754 -1.8094 11.6143
Se 9.2177 -0.8645 4.4608
Se 3.3168 1.6486 7.7049
Se 1.4364 -4.4921 9.1307
Se 8.3612 2.7216 4.8586
P 4.8194 -0.0636 7.9809
P 3.1698 7.2516 9.3157
P 0.3994 -5.5441 10.8866
P 11.2611 -1.9033 4.3566
```

D(E_F), states/eV/cell: 2.17
ΔE_f (raw), eV/atom: -0.002

(13)
## Li2CuPO4 (PBEsol)

Data for a geometry-optimized Li2CuPO4 structure.

Structure (extended XYZ):
```
16
Lattice="-0.9132 3.7014 3.1765 -5.0531 0.1674 -1.6478 -1.5321 -4.0496 4.2868" Properties=species:S:1:pos:R:3 pbc="T T T"
O -4.6768 2.5611 2.5740
O -2.8540 -0.6870 6.9129
O -2.3681 0.9898 4.5012
O -5.5040 0.3001 5.1674
O -2.9558 -1.3817 3.7913
O -4.5134 1.2755 -0.3287
O -2.4196 0.4125 2.0429
O -5.6424 -0.3800 1.8733
Cu -2.1145 -0.8994 0.5297
Cu -4.9372 -1.0205 3.7395
P -4.2008 0.1547 -1.3531
P -2.0839 -0.1300 3.4675
Li -5.9297 1.8189 3.9317
Li -4.2381 0.9388 1.5601
Li -2.7900 -2.1709 5.6117
Li -3.7225 0.7071 5.8586
```

ΔE_f (raw), eV/atom: -1.959
Distance to the lowest polymorph of the same formula, meV/atom: 11

(14)
## NaPr2Cl6 (PBEsol)

Data for a geometry-optimized NaPr2Cl6 structure.

Structure (extended XYZ):
```
18
Lattice="-1.9951 1.3274 -3.0035 -3.9278 -6.8132 -0.4019 -9.4740 4.9638 8.4870" Properties=species:S:1:pos:R:3 pbc="T T T"
Cl -6.9383 0.6846 3.6797
Cl -8.4586 -1.2067 1.4019
Cl -4.1628 -5.2055 -0.7612
Cl -6.9252 -4.1732 1.5283
Cl -11.2341 4.6834 5.8428
Cl -5.6972 1.1720 0.6167
Cl -2.9982 -0.7698 0.4233
Cl -5.6975 -2.2381 -0.8897
Cl -8.4716 3.6511 3.5533
Cl -12.3987 0.2478 4.6582
Cl -9.6993 1.7160 5.9713
Cl -9.6997 -1.6941 4.4649
Na -2.9614 -2.7429 -1.7027
Na -4.7370 2.4819 4.2435
Pr -9.7759 0.9008 3.2030
Pr -5.6210 -1.4229 1.8785
Pr -8.3960 4.4669 6.3202
Pr -7.0009 -4.9890 -1.2386
```

D(E_F), states/eV/cell: 3.80
ΔE_f (raw), eV/atom: -2.087

(15)
## YInSb2 (PBEsol)

Data for a geometry-optimized YInSb2 structure.

Structure (extended XYZ):
```
4
Lattice="-2.5655 -2.0327 -0.8545 2.6048 -1.3157 -1.7112 1.9955 -5.6082 7.3496" Properties=species:S:1:pos:R:3 pbc="T T T"
Sb 0.0489 -0.1373 0.1800
Sb 1.4737 -5.7607 4.0725
In 0.5185 -3.0764 0.5547
Y 0.9914 -2.7863 3.6515
```

D(E_F), states/eV/cell: 2.71
ΔE_f (raw), eV/atom: -0.230

(16)
## InHgRu2 (PBEsol)

Data for a geometry-optimized InHgRu2 structure.

Structure (extended XYZ):
```
4
Lattice="-1.1814 2.2199 -1.9680 0.9466 -1.7255 -2.5146 -5.6392 -3.0361 -0.0395" Properties=species:S:1:pos:R:3 pbc="T T T"
Ru -4.1876 -2.2546 -0.0293
Ru -1.4516 -0.7815 -0.0102
In -2.9370 -1.2709 -2.2610
Hg -0.1174 0.2472 -2.2413
```

D(E_F), states/eV/cell: 5.09
Energy of formation from the pure elements, meV/atom: 409
Distance to the lowest polymorph of the same formula, meV/atom: 0

(17)
## Ti2Se (PBEsol)

Data for a geometry-optimized Ti2Se structure.

Structure (extended XYZ):
```
36
Lattice="-0.7944 3.2887 0.4468 -3.7616 0.2637 -8.6301 -15.6277 -4.6808 6.6687" Properties=species:S:1:pos:R:3 pbc="T T T"
Ti -8.0556 0.7172 -0.0524
Ti -3.1890 1.8013 0.6213
Ti -12.1282 -1.8456 -1.4623
Ti -14.7862 -0.7436 -1.2664
Ti -0.8209 0.7901 -0.7589
Ti -12.2807 -0.4496 1.0240
Ti -19.3628 -1.9185 -0.7558
Ti -7.9030 -0.6788 -2.5387
Ti -16.9947 -2.9296 -2.1360
Ti -5.3976 -0.3847 -0.2483
Ti -15.1257 -1.6753 4.9883
Ti -6.9868 1.5978 -4.6340
Ti -17.6424 -3.5493 1.2735
Ti -6.0686 0.8801 2.2816
Ti -15.4775 -1.3484 1.9565
Ti -10.8537 -1.1370 -4.4128
Ti -2.5414 2.4209 -2.7883
Ti -4.7063 0.2201 -3.4712
Ti -5.0581 0.5469 -6.5031
Ti -9.3301 0.0086 2.8980
Ti -10.5033 0.3486 -1.6911
Ti -13.1970 -2.7262 3.1192
Ti -14.1152 -2.0085 -3.7963
Ti -9.6805 -1.4770 0.1763
Se -6.4220 1.3686 -1.9426
Se -4.2481 2.2898 -4.8579
Se -9.3386 0.9317 -3.9122
Se -13.7618 -2.4970 0.4279
Se -3.2529 0.2959 -1.4453
Se -7.5687 -0.0430 -6.6248
Se -12.6151 -1.0854 5.1101
Se -12.7419 -0.0030 -3.0835
Se -10.8452 -2.0600 2.3975
Se -7.4419 -1.1254 1.5687
Se -15.9357 -3.4181 3.3432
Se -16.9308 -1.4243 -0.0694
```

D(E_F), states/eV/cell: 25.73
ΔE_f (raw), eV/atom: -0.913

(18)
## TlTeS2 (PBEsol)

Data for a geometry-optimized TlTeS2 structure.

Structure (extended XYZ):
```
4
Lattice="-2.7102 1.4916 2.3020 -1.1703 -1.9491 3.1146 4.5097 3.4993 6.2714" Properties=species:S:1:pos:R:3 pbc="T T T"
S 2.6985 2.3596 4.8776
S -2.0692 0.6823 6.8105
Tl 0.3146 1.5209 5.8440
Te 0.0000 0.0000 0.0000
```

D(E_F), states/eV/cell: 1.49
ΔE_f (raw), eV/atom: 0.032

(19)
## KBOs3 (PBEsol)

Data for a geometry-optimized KBOs3 structure.

Structure (extended XYZ):
```
5
Lattice="-1.7535 -3.4442 -1.6880 3.7694 -1.8907 -0.0578 -0.7096 -1.5327 3.8644" Properties=species:S:1:pos:R:3 pbc="T T T"
Os 1.8847 -0.9454 -0.0289
Os -0.3548 -0.7664 1.9322
Os -0.8767 -1.7221 -0.8440
B 0.0000 0.0000 0.0000
K 0.6532 -3.4338 1.0593
```

D(E_F), states/eV/cell: 5.36
Energy of formation from the pure elements, meV/atom: 1260

(20)
## Tc3SnW (PBEsol)

Data for a geometry-optimized Tc3SnW structure.

Structure (extended XYZ):
```
5
Lattice="4.6631 0.0000 0.0000 0.0000 4.6631 0.0000 0.0000 0.0000 4.6631" Properties=species:S:1:pos:R:3 pbc="T T T"
Tc 2.3315 0.0000 0.0000
Tc 0.0000 2.3315 0.0000
Tc 0.0000 0.0000 2.3315
Sn 2.3315 2.3315 2.3315
W 0.0000 0.0000 0.0000
```

D(E_F), states/eV/cell: 4.59
Energy of formation from the pure elements, meV/atom: 1659

Sequential calculated total energy output: -5.55; -3.30; -7.34; -3.42; -7.54; -2.78; -4.96; -4.00; -2.88; -7.80; -7.93; -3.67; -6.34; -4.73; -4.96; -5.56; -7.74; -3.70; -7.70; -8.71 eV/atom